9
Lattice="-1.094 3.664 -0.639 -4.410 -0.267 -5.739 -7.227 -0.025 0.465" Properties=species:S:1:pos:R:3 comment="NdZn6Pd2 PBE optimized geometry" mass_density_g_cm3=7.73 formation_energy_mev_per_atom=-293 final_energy_ev_per_cell=-25.44 pbc="T T T"
Zn -3.517 2.360 -3.968
Zn -9.214 1.012 -1.946
Zn -5.876 1.644 -4.034
Zn -6.855 1.728 -1.880
Zn -7.500 0.865 -5.719
Zn -5.231 2.507 -0.194
Pd -4.523 0.340 -2.067
Pd -8.208 3.031 -3.846
Nd 0.000 0.000 0.000